Density functional theory data (PBE-GGA) for a relaxed Ac2Nd6Dy crystal.

```
Ac2Nd6Dy
1.0
-8.358 -1.576 -3.914
0.309 -6.326 -6.845
-3.793 -8.210 2.423
Nd Ac Dy
12 4 2
direct
0.161 0.835 0.003 Nd
0.148 0.514 0.329 Nd
0.852 0.486 0.671 Nd
0.003 0.335 0.161 Nd
0.410 0.419 0.919 Nd
0.081 0.081 0.590 Nd
0.329 0.014 0.148 Nd
0.997 0.665 0.839 Nd
0.919 0.919 0.410 Nd
0.839 0.165 0.997 Nd
0.590 0.581 0.081 Nd
0.671 0.986 0.852 Nd
0.513 0.821 0.673 Ac
0.327 0.679 0.487 Ac
0.487 0.179 0.327 Ac
0.673 0.321 0.513 Ac
0.244 0.250 0.756 Dy
0.756 0.750 0.244 Dy
```

Symmetry   C2/c, No. 15
D(E_F)   13.5 states/eV/f.u.
Density   7.43 g cm⁻³
ΔH_f (0 K)   0.085 eV per atom
Polymorph energy (0 for the lowest one)   6.1 meV/atom